No. 1
Here is FeSi2Pt after structural relaxation from Alexandria. Energies are from PBE.

abc: 4.0703 4.0703 4.8644
angles: 79.27 79.27 40.96
With the nearest neighbours (Å) after each atom.
Fractional coordinates of all 4 atoms:
1 Fe 0.7500 0.7500 0.7500  6 Si 2.40
2 Pt 0.2500 0.2500 0.2500  6 Si 2.53-2.60, 4 Fe 2.82
3 Si 0.0078 0.0078 0.9622  3 Fe 2.40, 3 Pt 2.53-2.60, 2 Si 2.53
4 Si 0.4922 0.4922 0.5378  3 Fe 2.40, 3 Pt 2.53-2.60, 2 Si 2.53

## Properties
symmetry	No. 12
raw formation energy	-0.345	eV/atom
electronic total energy	-6.682	eV/atom

---

No. 2
Here is BaCoSnBr2 after structural relaxation from Alexandria. Energies are from PBE.

abc: 5.6878 6.9143 5.6878
angles: 90.00 90.00 90.00
With the nearest neighbours (Å) after each atom.
Fractional coordinates of all 5 atoms:
1 Co 0.5000 0.5000 0.5000  4 Ba 4.02, 8 Br 4.48
2 Ba 0.0000 0.5000 0.0000  2 Sn 3.46
3 Br 0.0000 0.0000 0.5000  2 Sn 2.84
4 Br 0.5000 0.0000 0.0000  2 Sn 2.84
5 Sn 0.0000 0.0000 0.0000  4 Br 2.84

## Properties
symmetry	No. 123
raw formation energy	0.230	eV/atom
electronic total energy	-3.046	eV/atom

---

Copy entry 2 word for word.
Here is BaCoSnBr2 after structural relaxation from Alexandria. Energies are from PBE.

abc: 5.6878 6.9143 5.6878
angles: 90.00 90.00 90.00
With the nearest neighbours (Å) after each atom.
Fractional coordinates of all 5 atoms:
1 Co 0.5000 0.5000 0.5000  4 Ba 4.02, 8 Br 4.48
2 Ba 0.0000 0.5000 0.0000  2 Sn 3.46
3 Br 0.0000 0.0000 0.5000  2 Sn 2.84
4 Br 0.5000 0.0000 0.0000  2 Sn 2.84
5 Sn 0.0000 0.0000 0.0000  4 Br 2.84

## Properties
symmetry	No. 123
raw formation energy	0.230	eV/atom
electronic total energy	-3.046	eV/atom